# 1
# PrDy6Ho12

Crystalline PrDy6Ho12 at its relaxed geometry (GGA-PBE, the Alexandria database).

Computed properties:
Polymorph energy (0 for the lowest one) = 0.0 meV/atom
D(E_F) = 75.12 states/eV/cell
DFT formation energy = 0.019 eV per atom

Cell lengths 15.4152, 15.4152, 8.6685 Å; angles 90.00, 90.00, 120.00 degrees
Space group R-3 (No. 148, hexagonal axes)
Inequivalent atoms, fractional coordinates:
Pr  0.0000  0.0000  0.0000
Dy  0.0353  0.2805  0.3332
Ho  0.0177  0.1411  0.6655
Ho  0.0692  0.5609  0.6671


# 2
# PrDy2Ho7

Crystalline PrDy2Ho7 at its relaxed geometry (GGA-PBE, the Alexandria database).

Computed properties:
Polymorph energy (0 for the lowest one) = 0.0 meV/atom
D(E_F) = 12.26 states/eV/cell
DFT formation energy = 0.018 eV per atom

Cell lengths 6.1303, 7.0928, 7.9204 Å; angles 77.01, 75.11, 73.34 degrees
Space group P-1 (No. 2)
Inequivalent atoms, fractional coordinates:
Pr  0.0000  0.0000  0.0000
Dy  0.2009  0.7992  0.5990
Ho  0.0000  0.5000  0.0000
Ho  0.1994  0.3012  0.5993
Ho  0.4001  0.1004  0.2013
Ho  0.4014  0.5986  0.2010


# 3
# Pr3Dy2Ho

Crystalline Pr3Dy2Ho at its relaxed geometry (GGA-PBE, the Alexandria database).

Computed properties:
Polymorph energy (0 for the lowest one) = 113.2 meV/atom
D(E_F) = 38.82 states/eV/cell
DFT formation energy = 0.111 eV per atom

Cell lengths 13.3176, 3.5652, 17.8355 Å; angles 90.00, 102.44, 90.00 degrees
Space group C2/m (No. 12)
Inequivalent atoms, fractional coordinates:
Pr  0.0679  0.0000  0.1687
Pr  0.1273  0.5000  0.9905
Pr  0.2345  0.5000  0.3380
Dy  0.1317  0.5000  0.5003
Dy  0.1960  0.0000  0.8339
Ho  0.0407  0.5000  0.6809


# 4
# Pr2Dy3Ho5

Crystalline Pr2Dy3Ho5 at its relaxed geometry (GGA-PBE, the Alexandria database).

Computed properties:
Polymorph energy (0 for the lowest one) = 0.0 meV/atom
D(E_F) = 69.79 states/eV/cell
DFT formation energy = 0.193 eV per atom

Cell lengths 10.5863, 16.0316, 9.3733 Å; angles 90.00, 124.19, 90.00 degrees
Space group C2/c (No. 15)
Inequivalent atoms, fractional coordinates:
Pr  0.1412  0.1279  0.0465
Dy  0.0000  0.0216  0.2500
Dy  0.1572  0.3780  0.5490
Ho  0.0000  0.2310  0.2500
Ho  0.0000  0.2749  0.7500
Ho  0.0000  0.4728  0.7500
Ho  0.2314  0.3795  0.2194


# 5
# Pr5Dy2Ho

Crystalline Pr5Dy2Ho at its relaxed geometry (GGA-PBE, the Alexandria database).

Computed properties:
Polymorph energy (0 for the lowest one) = 0.0 meV/atom
D(E_F) = 23.99 states/eV/cell
DFT formation energy = 0.017 eV per atom

Cell lengths 7.2797, 14.5774, 5.1673 Å; angles 90.00, 90.00, 90.00 degrees
Space group Pbam (No. 55)
Inequivalent atoms, fractional coordinates:
Pr  0.0000  0.0000  0.0000
Pr  0.0030  0.2518  0.0000
Pr  0.2467  0.6236  0.5000
Dy  0.2487  0.8762  0.5000
Ho  0.0000  0.5000  0.0000


# 6
# PrDy4Ho5

Crystalline PrDy4Ho5 at its relaxed geometry (GGA-PBE, the Alexandria database).

Computed properties:
Polymorph energy (0 for the lowest one) = 240.5 meV/atom
D(E_F) = 28.71 states/eV/cell
DFT formation energy = 0.303 eV per atom

Cell lengths 10.1966, 10.1966, 6.2735 Å; angles 90.00, 90.00, 90.00 degrees
Space group I4 (No. 79)
Inequivalent atoms, fractional coordinates:
Pr  0.0000  0.0000  0.0000
Dy  0.0502  0.6500  0.2318
Ho  0.0000  0.0000  0.4577
Ho  0.1457  0.7663  0.7270


# 7
# Pr2Dy8Ho3

Crystalline Pr2Dy8Ho3 at its relaxed geometry (GGA-PBE, the Alexandria database).

Computed properties:
D(E_F) = 44.50 states/eV/cell
DFT formation energy = 0.236 eV per atom

Cell lengths 7.6248, 20.8252, 5.5296 Å; angles 90.00, 90.00, 90.00 degrees
Space group Cmmm (No. 65)
Inequivalent atoms, fractional coordinates:
Pr  0.0000  0.2405  0.0000
Dy  0.0000  0.1274  0.5000
Dy  0.0000  0.3393  0.5000
Dy  0.2123  0.3945  0.0000
Ho  0.0000  0.0000  0.0000
Ho  0.2130  0.5000  0.5000


# 8
# Pr3DyHo7

Crystalline Pr3DyHo7 at its relaxed geometry (GGA-PBE, the Alexandria database).

Computed properties:
Polymorph energy (0 for the lowest one) = 49.0 meV/atom
D(E_F) = 16.78 states/eV/cell
DFT formation energy = 0.173 eV per atom

Cell lengths 7.0705, 7.0705, 8.7068 Å; angles 90.00, 90.00, 120.00 degrees
Space group P3m1 (No. 156)
Inequivalent atoms, fractional coordinates:
Pr  0.9999  0.5000  0.0000
Dy  0.3333  0.6667  0.6600
Ho  0.1674  0.3349  0.3387
Ho  0.3349  0.1675  0.6608
Ho  0.6667  0.3333  0.3399


# 9
# Pr4DyHo

Crystalline Pr4DyHo at its relaxed geometry (GGA-PBE, the Alexandria database).

Computed properties:
Polymorph energy (0 for the lowest one) = 570.0 meV/atom
D(E_F) = 20.77 states/eV/cell
DFT formation energy = 0.593 eV per atom

Cell lengths 11.7990, 11.8003, 3.5094 Å; angles 90.00, 90.00, 90.00 degrees
Space group Cmmm (No. 65)
Inequivalent atoms, fractional coordinates:
Pr  0.0000  0.2388  0.0000
Pr  0.2393  0.5000  0.5000
Dy  0.0000  0.5000  0.0000
Ho  0.0000  0.0000  0.5000


# 10
# PrDy4Ho6

Crystalline PrDy4Ho6 at its relaxed geometry (GGA-PBE, the Alexandria database).

Computed properties:
Polymorph energy (0 for the lowest one) = 0.0 meV/atom
D(E_F) = 78.72 states/eV/cell
DFT formation energy = 0.123 eV per atom

Cell lengths 5.6936, 9.6148, 25.6376 Å; angles 90.00, 90.00, 90.00 degrees
Space group Cmcm (No. 63)
Inequivalent atoms, fractional coordinates:
Pr  0.0000  0.1842  0.2500
Dy  0.0000  0.1585  0.5419
Dy  0.0000  0.4740  0.6212
Ho  0.0000  0.1453  0.6805
Ho  0.0000  0.1873  0.1019
Ho  0.0000  0.4812  0.7500
Ho  0.0000  0.5000  0.0000


# 11
# Pr4Dy9Ho11

Crystalline Pr4Dy9Ho11 at its relaxed geometry (GGA-PBE, the Alexandria database).

Computed properties:
D(E_F) = 60.43 states/eV/cell
DFT formation energy = 0.064 eV per atom

Cell lengths 16.6991, 25.0974, 3.6955 Å; angles 90.00, 90.00, 90.00 degrees
Space group Cmmm (No. 65)
Inequivalent atoms, fractional coordinates:
Pr  0.1542  0.1001  0.0000
Dy  0.0000  0.0000  0.0000
Dy  0.1018  0.2364  0.0000
Dy  0.1380  0.4268  0.0000
Ho  0.0000  0.1366  0.5000
Ho  0.0000  0.3407  0.5000
Ho  0.0000  0.5000  0.5000
Ho  0.2150  0.0000  0.5000
Ho  0.2257  0.3186  0.5000


# 12
# Pr2Dy4Ho5

Crystalline Pr2Dy4Ho5 at its relaxed geometry (GGA-PBE, the Alexandria database).

Computed properties:
Polymorph energy (0 for the lowest one) = 0.0 meV/atom
D(E_F) = 41.72 states/eV/cell
DFT formation energy = 0.152 eV per atom

Cell lengths 23.8418, 3.4605, 8.7323 Å; angles 90.00, 96.62, 90.00 degrees
Space group C2/m (No. 12)
Inequivalent atoms, fractional coordinates:
Pr  0.0924  0.0000  0.2439
Dy  0.0458  0.0000  0.8602
Dy  0.1781  0.5000  0.9732
Ho  0.0000  0.5000  0.5000
Ho  0.1414  0.0000  0.6233
Ho  0.2339  0.0000  0.3266


# 13
# Pr2Dy4Ho

Crystalline Pr2Dy4Ho at its relaxed geometry (GGA-PBE, the Alexandria database).

Computed properties:
D(E_F) = 18.78 states/eV/cell
DFT formation energy = 0.020 eV per atom

Cell lengths 7.1748, 8.0175, 9.4860 Å; angles 104.61, 112.10, 102.93 degrees
Space group P1 (No. 1)
Inequivalent atoms, fractional coordinates:
Pr  0.0000  0.0000  0.0000
Pr  0.0711  0.5679  0.8568
Pr  0.2866  0.2854  0.4313
Pr  0.7842  0.2821  0.4256
Dy  0.1430  0.1383  0.7137
Dy  0.2165  0.7175  0.5732
Dy  0.3565  0.8527  0.2862
Dy  0.4302  0.4290  0.1428
Dy  0.5002  0.9987  0.9993
Dy  0.5710  0.5695  0.8578
Dy  0.7148  0.7158  0.5708
Dy  0.9281  0.4298  0.1432
Ho  0.6411  0.1392  0.7145
Ho  0.8548  0.8509  0.2838


# 14
# Pr4Dy3Ho8

Crystalline Pr4Dy3Ho8 at its relaxed geometry (GGA-PBE, the Alexandria database).

Computed properties:
Polymorph energy (0 for the lowest one) = 245.6 meV/atom
D(E_F) = 60.01 states/eV/cell
DFT formation energy = 0.362 eV per atom

Cell lengths 13.4369, 12.8571, 6.7679 Å; angles 90.00, 120.02, 90.00 degrees
Space group C2/m (No. 12)
Inequivalent atoms, fractional coordinates:
Pr  0.0000  0.0000  0.0000
Pr  0.0000  0.0000  0.5000
Pr  0.2500  0.2500  0.0000
Dy  0.0000  0.5000  0.0000
Dy  0.2500  0.2500  0.5000
Ho  0.0000  0.2563  0.0000
Ho  0.0000  0.3625  0.5000
Ho  0.2287  0.5000  0.9618
Ho  0.2317  0.5000  0.4864


# 15
# Pr2DyHo3

Crystalline Pr2DyHo3 at its relaxed geometry (GGA-PBE, the Alexandria database).

Computed properties:
Polymorph energy (0 for the lowest one) = 63.5 meV/atom
D(E_F) = 38.83 states/eV/cell
DFT formation energy = 0.098 eV per atom

Cell lengths 17.0882, 5.5810, 10.1262 Å; angles 90.00, 124.73, 90.00 degrees
Space group C2/m (No. 12)
Inequivalent atoms, fractional coordinates:
Pr  0.0099  0.0000  0.3594
Pr  0.2284  0.5000  0.3701
Dy  0.1340  0.5000  0.6416
Ho  0.0499  0.5000  0.8969
Ho  0.1124  0.0000  0.1544
Ho  0.2074  0.0000  0.9250


# 16
# Pr7Dy6Ho16

Crystalline Pr7Dy6Ho16 at its relaxed geometry (GGA-PBE, the Alexandria database).

Computed properties:
D(E_F) = 199.54 states/eV/cell
DFT formation energy = 0.261 eV per atom

Cell lengths 15.9080, 15.9080, 15.9080 Å; angles 90.00, 90.00, 90.00 degrees
Space group Fm-3m (No. 225)
Inequivalent atoms, fractional coordinates:
Pr  0.0000  0.0000  0.0000
Pr  0.0000  0.2500  0.2500
Dy  0.0000  0.0000  0.2490
Ho  0.1319  0.1319  0.1319
Ho  0.1463  0.1463  0.3537


# 17
# Pr2Dy3Ho3

Crystalline Pr2Dy3Ho3 at its relaxed geometry (GGA-PBE, the Alexandria database).

Computed properties:
Polymorph energy (0 for the lowest one) = 0.0 meV/atom
D(E_F) = 58.80 states/eV/cell
DFT formation energy = 0.143 eV per atom

Cell lengths 5.5954, 11.8725, 16.0241 Å; angles 90.00, 90.00, 90.00 degrees
Space group Cmcm (No. 63)
Inequivalent atoms, fractional coordinates:
Pr  0.0000  0.2189  0.1276
Dy  0.0000  0.3852  0.5516
Dy  0.0000  0.4589  0.2500
Ho  0.0000  0.0814  0.5883
Ho  0.0000  0.2599  0.7500


# 18
# Pr3DyHo12

Crystalline Pr3DyHo12 at its relaxed geometry (GGA-PBE, the Alexandria database).

Computed properties:
D(E_F) = 22.08 states/eV/cell
DFT formation energy = 0.023 eV per atom

Cell lengths 5.0348, 5.0348, 20.1460 Å; angles 90.00, 90.00, 90.00 degrees
Space group P4/mmm (No. 123)
Inequivalent atoms, fractional coordinates:
Pr  0.0000  0.0000  0.0000
Pr  0.0000  0.0000  0.2507
Dy  0.0000  0.0000  0.5000
Ho  0.0000  0.5000  0.1256
Ho  0.0000  0.5000  0.3771
Ho  0.5000  0.5000  0.0000
Ho  0.5000  0.5000  0.2516
Ho  0.5000  0.5000  0.5000